No. 1
# Cr2OsRu | the Alexandria database | GGA-PBE | relaxed
# ΔE_f = 28 kJ/mol of atoms
# Relative energy among the computed polymorphs = 197 meV per atom
data_Cr2OsRu
_space_group_name_H-M_alt 'P m m m'
_space_group_IT_number 47
_cell_length_a 2.8860
_cell_length_b 4.2761
_cell_length_c 4.3903
_cell_angle_alpha 90.00
_cell_angle_beta 90.00
_cell_angle_gamma 90.00
loop_
_space_group_symop_operation_xyz
'x,y,z'
'-x,-y,-z'
'-x,-y,z'
'x,y,-z'
'x,-y,-z'
'-x,y,z'
'-x,y,-z'
'x,-y,z'
loop_
_atom_site_label
_atom_site_type_symbol
_atom_site_fract_x
_atom_site_fract_y
_atom_site_fract_z
Cr1 Cr 0.0000 0.0000 0.0000
Cr2 Cr 0.5000 0.0000 0.5000
Os1 Os 0.0000 0.5000 0.5000
Ru1 Ru 0.5000 0.5000 0.0000



No. 2
# TcIrRu2 | the Alexandria database | GGA-PBE | relaxed
# ΔE_f = -12 kJ/mol of atoms
# Relative energy among the computed polymorphs = 14 meV per atom
data_TcIrRu2
_space_group_name_H-M_alt 'P n m a'
_space_group_IT_number 62
_cell_length_a 4.7560
_cell_length_b 4.3350
_cell_length_c 10.9869
_cell_angle_alpha 90.00
_cell_angle_beta 90.00
_cell_angle_gamma 90.00
loop_
_space_group_symop_operation_xyz
'x,y,z'
'-x,-y,-z'
'-x+1/2,-y,z+1/2'
'x+1/2,y,-z+1/2'
'x+1/2,-y+1/2,-z+1/2'
'-x+1/2,y+1/2,z+1/2'
'-x,y+1/2,-z'
'x,-y+1/2,z'
loop_
_atom_site_label
_atom_site_type_symbol
_atom_site_fract_x
_atom_site_fract_y
_atom_site_fract_z
Tc1 Tc 0.0836 0.2500 0.0627
Ir1 Ir 0.0843 0.2500 0.3144
Ru1 Ru 0.0811 0.2500 0.5616
Ru2 Ru 0.0851 0.2500 0.8108



No. 3
# Ru2SeF | the Alexandria database | GGA-PBE | relaxed
# E_form (uncorrected) = 0.295 eV per atom
# Relative energy among the computed polymorphs = 324 meV per atom
data_Ru2SeF
_space_group_name_H-M_alt 'I -4 2 d'
_space_group_IT_number 122
_space_group_name_Hall 'I -4 2bw'
_cell_length_a 5.6226
_cell_length_b 5.6226
_cell_length_c 9.1575
_cell_angle_alpha 90.00
_cell_angle_beta 90.00
_cell_angle_gamma 90.00
loop_
_atom_site_label
_atom_site_type_symbol
_atom_site_fract_x
_atom_site_fract_y
_atom_site_fract_z
Ru1 Ru 0.2480 0.2500 0.1250
Se1 Se 0.0000 0.0000 0.5000
F1 F 0.0000 0.0000 0.0000



No. 4
# Ca6GaHg | the Alexandria database | GGA-PBE | relaxed
# ΔE_f = -25 kJ/mol of atoms
data_Ca6GaHg
_space_group_name_H-M_alt 'I 4/m m m'
_space_group_IT_number 139
_space_group_name_Hall '-I 4 2'
_cell_length_a 5.3877
_cell_length_b 5.3877
_cell_length_c 18.7194
_cell_angle_alpha 90.00
_cell_angle_beta 90.00
_cell_angle_gamma 90.00
loop_
_atom_site_label
_atom_site_type_symbol
_atom_site_fract_x
_atom_site_fract_y
_atom_site_fract_z
Ca1 Ca 0.0000 0.0000 0.2488
Ca2 Ca 0.0000 0.5000 0.0953
Ga1 Ga 0.0000 0.0000 0.0000
Hg1 Hg 0.0000 0.0000 0.5000



No. 5
# Sm6AsC2Se3 | the Alexandria database | GGA-PBE | relaxed
# E_form (uncorrected) = -1.279 eV per atom
data_Sm6AsC2Se3
_space_group_name_H-M_alt 'C 1 2/m 1'
_space_group_IT_number 12
_cell_length_a 17.7612
_cell_length_b 3.9775
_cell_length_c 8.2413
_cell_angle_alpha 90.00
_cell_angle_beta 105.00
_cell_angle_gamma 90.00
loop_
_space_group_symop_operation_xyz
'x,y,z'
'-x,-y,-z'
'-x,y,-z'
'x,-y,z'
'x+1/2,y+1/2,z'
'-x+1/2,-y+1/2,-z'
'-x+1/2,y+1/2,-z'
'x+1/2,-y+1/2,z'
loop_
_atom_site_label
_atom_site_type_symbol
_atom_site_fract_x
_atom_site_fract_y
_atom_site_fract_z
Sm1 Sm 0.0185 0.0000 0.2570
Sm2 Sm 0.1698 0.5000 0.1205
Sm3 Sm 0.1779 0.5000 0.5609
As1 As 0.0000 0.5000 0.0000
C1 C 0.1700 0.0000 0.3374
Se1 Se 0.0000 0.5000 0.5000
Se2 Se 0.1620 0.0000 0.8321



No. 6
# Pr2Zn3Ir | the Alexandria database | GGA-PBE | relaxed
# ΔE_f = -42 kJ/mol of atoms
data_Pr2Zn3Ir
_space_group_name_H-M_alt 'F m m m'
_space_group_IT_number 69
_space_group_name_Hall '-F 2 2'
_cell_length_a 7.6604
_cell_length_b 8.9623
_cell_length_c 15.3347
_cell_angle_alpha 90.00
_cell_angle_beta 90.00
_cell_angle_gamma 90.00
loop_
_atom_site_label
_atom_site_type_symbol
_atom_site_fract_x
_atom_site_fract_y
_atom_site_fract_z
Pr1 Pr 0.2406 0.0000 0.0000
Pr2 Pr 0.2500 0.2500 0.2500
Zn1 Zn 0.0000 0.0000 0.3316
Zn2 Zn 0.0000 0.2482 0.4168
Ir1 Ir 0.0000 0.0000 0.1625



- What is the formula in the second record?
  TcIrRu2